1.
The following is a PBE calculation of Rb2As2Pb after structural relaxation, from Alexandria.

POSCAR file:
```
Rb2As2Pb
1.0
5.966 0.000 0.000
0.000 5.966 0.000
2.983 2.983 5.292
Pb As Rb
1 2 2
Direct
0.000 0.000 0.000 Pb
0.750 0.250 0.500 As
0.250 0.750 0.500 As
0.356 0.356 0.288 Rb
0.644 0.644 0.712 Rb
```

Summary:
Uncorrected energy in eV/atom: -2.506
Calculated volume in Å³/f.u.: 188.4
Mass density in g cm⁻³: 4.654
Formation enthalpy at 0 K in eV/atom: 0.4824

2.
The following is a PBE calculation of LaZnGaMo2 after structural relaxation, from Alexandria.

POSCAR file:
```
LaZnGaMo2
1.0
4.880 0.000 0.000
0.000 5.487 0.000
0.000 0.000 4.880
Mo Zn Ga La
2 1 1 1
Direct
0.000 0.000 0.500 Mo
0.500 0.000 0.000 Mo
0.500 0.500 0.500 Zn
0.000 0.500 0.000 Ga
0.000 0.000 0.000 La
```

Summary:
Offset from the most stable computed form in eV/f.u.: 0.083
Uncorrected energy in eV/atom: -4.231
Calculated volume in Å³/f.u.: 130.7
Mass density in g cm⁻³: 5.920
Formation enthalpy at 0 K in eV/atom: 1.9475

3.
The following is a PBE calculation of BaInAg2Pd after structural relaxation, from Alexandria.

POSCAR file:
```
BaInAg2Pd
1.0
-3.720 1.573 3.483
-3.738 -0.482 -3.774
-0.756 -4.806 1.363
Pd Ba Ag In
1 1 2 1
Direct
0.000 0.000 0.000 Pd
0.500 0.500 0.500 Ba
0.000 0.500 0.000 Ag
0.500 0.000 0.000 Ag
0.000 0.000 0.500 In
```

Summary:
Offset from the most stable computed form in eV/f.u.: 0.738
Uncorrected energy in eV/atom: -3.288
Calculated volume in Å³/f.u.: 143.7
Mass density in g cm⁻³: 6.636
Formation enthalpy at 0 K in eV/atom: -0.1766

4.
The following is a PBE calculation of SrTiC2O8 after structural relaxation, from Alexandria.

POSCAR file:
```
SrTiC2O8
1.0
4.790 0.000 0.000
-2.395 4.148 0.000
0.000 0.000 7.047
Sr Ti C O
1 1 2 8
Direct
0.000 0.000 0.000 Sr
0.000 0.000 0.500 Ti
0.667 0.333 0.271 C
0.333 0.667 0.729 C
0.333 0.667 0.926 O
0.361 0.256 0.330 O
0.744 0.105 0.330 O
0.667 0.333 0.074 O
0.256 0.895 0.670 O
0.639 0.744 0.670 O
0.105 0.361 0.670 O
0.895 0.639 0.330 O
```

Summary:
Energy relative to the elements, uncorrected in eV/atom: -1.703
Uncorrected energy in eV/atom: -7.343
Calculated volume in Å³/f.u.: 140.0
Mass density in g cm⁻³: 3.410

5.
The following is a PBE calculation of Li2TlTc after structural relaxation, from Alexandria.

POSCAR file:
```
Li2TlTc
1.0
3.966 0.000 0.000
0.000 3.966 0.000
0.000 0.000 4.108
Li Tc Tl
2 1 1
Direct
0.000 0.000 0.000 Li
0.500 0.500 0.000 Li
0.500 0.000 0.500 Tc
0.000 0.500 0.500 Tl
```

Summary:
Offset from the most stable computed form in eV/f.u.: 0.060
Uncorrected energy in eV/atom: -3.844
Calculated volume in Å³/f.u.: 64.6
Mass density in g cm⁻³: 8.127
Formation enthalpy at 0 K in eV/atom: 0.2957

6.
The following is a PBE calculation of RbTaFeGeTe after structural relaxation, from Alexandria.

POSCAR file:
```
RbTaFeGeTe
1.0
-3.611 0.841 0.088
-0.293 -1.654 3.806
3.592 14.732 6.676
Ge Te Fe Rb Ta
2 2 2 2 2
Direct
0.000 0.500 0.956 Ge
0.500 0.000 0.456 Ge
0.000 0.500 0.243 Te
0.500 0.000 0.743 Te
0.000 0.000 0.350 Fe
0.500 0.500 0.850 Fe
0.000 0.500 0.590 Rb
0.500 0.000 0.090 Rb
0.000 0.000 0.866 Ta
0.500 0.500 0.366 Ta
```

Summary:
Energy relative to the elements, uncorrected in eV/atom: -0.124
Offset from the most stable computed form in eV/f.u.: 0.834
Uncorrected energy in eV/atom: -5.933
Calculated volume in Å³/f.u.: 127.8
Mass density in g cm⁻³: 6.788

7.
The following is a PBE calculation of AsSN2F after structural relaxation, from Alexandria.

POSCAR file:
```
AsSN2F
1.0
-0.455 -2.132 3.373
1.330 -3.281 -1.895
3.737 0.897 1.071
As N S F
1 2 1 1
Direct
0.500 0.500 0.500 As
0.000 0.500 0.000 N
0.500 0.000 0.000 N
0.000 0.000 0.500 S
0.000 0.000 0.000 F
```

Summary:
Energy relative to the elements, uncorrected in eV/atom: 2.206
Offset from the most stable computed form in eV/f.u.: 5.544
Uncorrected energy in eV/atom: -3.254
Calculated volume in Å³/f.u.: 64.3
Mass density in g cm⁻³: 3.975

8.
The following is a PBE calculation of LiZnCuF6 after structural relaxation, from Alexandria.

POSCAR file:
```
LiZnCuF6
1.0
-0.716 3.876 2.542
-3.807 0.976 -2.559
-5.186 -4.813 5.879
Li Zn Cu F
2 2 2 12
Direct
0.500 0.500 0.500 Li
0.000 0.000 0.000 Li
0.500 0.500 0.169 Zn
0.000 0.000 0.669 Zn
0.500 0.500 0.833 Cu
0.000 0.000 0.333 Cu
0.191 0.809 0.492 F
0.809 0.191 0.492 F
0.309 0.309 0.992 F
0.691 0.691 0.992 F
0.192 0.808 0.174 F
0.808 0.192 0.174 F
0.308 0.308 0.674 F
0.692 0.692 0.674 F
0.792 0.208 0.833 F
0.208 0.792 0.833 F
0.708 0.708 0.333 F
0.292 0.292 0.333 F
```

Summary:
Energy relative to the elements, uncorrected in eV/atom: -2.054
Uncorrected energy in eV/atom: -4.111
Calculated volume in Å³/f.u.: 101.2
Mass density in g cm⁻³: 4.101

Among the records above, which one has the highest uncorrected energy? Rb2As2Pb